[1]
NaCo2Ni | PBE-GGA | optimized geometry

Density of states at the Fermi level = 9.33 states/eV per cell
Symmetry = I-42d (122)
VASP energy = -35.73 eV per cell
Energy above the most stable polymorph in this dataset = 121.4 meV per atom

Structure (CIF):
```
data_NaCo2Ni
_cell_length_a 9.122
_cell_length_b 9.122
_cell_length_c 9.122
_cell_angle_alpha 156.27
_cell_angle_beta 156.27
_cell_angle_gamma 33.80
_space_group_name_H-M_alt 'P 1'
_space_group_IT_number 1
_space_group_name_Hall 'P 1'
loop_
_atom_site_label
_atom_site_type_symbol
_atom_site_fract_x
_atom_site_fract_y
_atom_site_fract_z
Na1 Na 0.000 0.000 0.000
Na2 Na 0.750 0.250 0.500
Co1 Co 0.214 0.125 0.589
Co2 Co 0.375 0.786 0.911
Co3 Co 0.536 0.625 0.411
Co4 Co 0.875 0.464 0.089
Ni1 Ni 0.250 0.750 0.500
Ni2 Ni 0.500 0.500 0.000
```


[2]
Na2CoNi2 | PBE-GGA | optimized geometry

Density of states at the Fermi level = 4.68 states/eV per cell
Symmetry = P4/mbm (127)
VASP energy = -37.97 eV per cell

Structure (CIF):
```
data_Na2CoNi2
_cell_length_a 5.895
_cell_length_b 5.895
_cell_length_c 4.860
_cell_angle_alpha 90.00
_cell_angle_beta 90.00
_cell_angle_gamma 90.00
_space_group_name_H-M_alt 'P 1'
_space_group_IT_number 1
_space_group_name_Hall 'P 1'
loop_
_atom_site_label
_atom_site_type_symbol
_atom_site_fract_x
_atom_site_fract_y
_atom_site_fract_z
Na1 Na 0.182 0.318 0.000
Na2 Na 0.318 0.818 0.000
Na3 Na 0.682 0.182 0.000
Na4 Na 0.818 0.682 0.000
Co1 Co 0.000 0.000 0.500
Co2 Co 0.500 0.500 0.500
Ni1 Ni 0.136 0.636 0.500
Ni2 Ni 0.364 0.136 0.500
Ni3 Ni 0.636 0.864 0.500
Ni4 Ni 0.864 0.364 0.500
```